Density functional theory data (PBE with a Hubbard U) for Ca2VAsO6 after structural relaxation.

Output
Total energy, eV per atom: -6.7195
Density of states at the Fermi level, states/eV per cell: 0.14
Crystal system: monoclinic

CIF file:
```
data_Ca2VAsO6
_space_group_name_H-M_alt 'P 1'
_space_group_IT_number 1
_cell_length_a 5.432
_cell_length_b 5.615
_cell_length_c 7.759
_cell_angle_alpha 90.00
_cell_angle_beta 89.92
_cell_angle_gamma 90.00
loop_
_space_group_symop_operation_xyz
'x,y,z'
loop_
_atom_site_label
_atom_site_type_symbol
_atom_site_fract_x
_atom_site_fract_y
_atom_site_fract_z
_atom_site_occupancy
O1 O 0.092 0.470 0.738 1
Ca1 Ca 0.486 0.445 0.251 1
Ca2 Ca 0.986 0.055 0.751 1
O2 O 0.908 0.530 0.262 1
O3 O 0.688 0.284 0.949 1
O4 O 0.592 0.030 0.238 1
As1 As 0.000 0.500 0.000 1
O5 O 0.188 0.216 0.449 1
O6 O 0.214 0.192 0.046 1
O7 O 0.312 0.716 0.051 1
As2 As 0.500 0.000 0.500 1
Ca3 Ca 0.014 0.945 0.249 1
V1 V 0.500 0.000 0.000 1
O8 O 0.714 0.308 0.546 1
O9 O 0.786 0.808 0.954 1
Ca4 Ca 0.514 0.555 0.749 1
O10 O 0.286 0.692 0.454 1
O11 O 0.408 0.970 0.762 1
O12 O 0.812 0.784 0.551 1
V2 V 0.000 0.500 0.500 1
```